{"formula": "KSi2Tc", "functional": "PBE", "state": "optimized geometry", "sg": "C2/m (12)", "n_ef_per_ev_fu": 0.93, "e_form_raw_mev_per_atom": -5, "de_polymorph_mev_per_atom": 56, "lattice": [[4.3592, 0.0054, -0.0076], [3.0497, 3.1148, -0.0076], [1.3953, 0.5876, 6.5487]], "species": ["K", "Si", "Si", "Tc"], "fractional_positions": [[0.7500, 0.7500, 0.7500], [0.9729, 0.9729, 0.1295], [0.5271, 0.5271, 0.3705], [0.2500, 0.2500, 0.2500]]}

{"formula": "KSi4Tc", "functional": "PBE", "state": "optimized geometry", "sg": "F-43m (216)", "n_ef_per_ev_fu": 4.49, "e_form_raw_mev_per_atom": 722, "lattice": [[0.0000, 3.6891, 3.6891], [3.6891, 0.0000, 3.6891], [3.6891, 3.6891, 0.0000]], "species": ["K", "Si", "Si", "Si", "Si", "Tc"], "fractional_positions": [[0.0000, 0.0000, 0.0000], [0.8675, 0.3775, 0.3775], [0.3775, 0.3775, 0.8675], [0.3775, 0.8675, 0.3775], [0.3775, 0.3775, 0.3775], [0.7500, 0.7500, 0.7500]]}

{"formula": "KSi2Tc", "functional": "PBE", "state": "optimized geometry", "sg": "Cm (8)", "n_ef_per_ev_fu": 2.21, "e_form_raw_mev_per_atom": 24, "de_polymorph_mev_per_atom": 86, "lattice": [[-2.3799, 0.0838, -3.6572], [0.3320, -1.5686, -4.0590], [-4.0505, -6.3420, -1.2576]], "species": ["K", "Si", "Si", "Tc"], "fractional_positions": [[0.7918, 0.7918, 0.7405], [0.9154, 0.9154, 0.1250], [0.2247, 0.2247, 0.3782], [0.5682, 0.5682, 0.2562]]}

{"formula": "KSi2Tc", "functional": "PBE", "state": "optimized geometry", "sg": "Fm-3m (225)", "n_ef_per_ev_fu": 5.20, "e_form_raw_mev_per_atom": 809, "de_polymorph_mev_per_atom": 871, "lattice": [[0.0000, 3.2583, 3.2583], [3.2583, 0.0000, 3.2583], [3.2583, 3.2583, 0.0000]], "species": ["K", "Si", "Si", "Tc"], "fractional_positions": [[0.0000, 0.0000, 0.0000], [0.2500, 0.2500, 0.2500], [0.7500, 0.7500, 0.7500], [0.5000, 0.5000, 0.5000]]}

{"formula": "KSi2Tc", "functional": "PBE", "state": "optimized geometry", "sg": "Imm2 (44)", "n_ef_per_ev_fu": 3.94, "e_form_raw_mev_per_atom": 696, "de_polymorph_mev_per_atom": 758, "lattice": [[-3.3345, -3.2324, -3.6769], [-0.9718, -5.7358, 1.1150], [-0.5026, 5.7682, 1.2498]], "species": ["K", "Si", "Si", "Tc"], "fractional_positions": [[0.2550, 0.7550, 0.5000], [0.9595, 0.9595, 0.0000], [0.7386, 0.2386, 0.5000], [0.5468, 0.5468, 0.0000]]}

{"formula": "KSi2Tc", "functional": "PBE", "state": "optimized geometry", "sg": "P4/mmm (123)", "n_ef_per_ev_fu": 2.12, "e_form_raw_mev_per_atom": -62, "de_polymorph_mev_per_atom": 0, "lattice": [[-0.6273, 2.4075, -1.9027], [-2.6231, 0.5871, 1.6077], [3.9491, 4.7504, 4.7085]], "species": ["K", "Si", "Si", "Tc"], "fractional_positions": [[0.5000, 0.5000, 0.7500], [0.0000, 0.0000, 0.0832], [0.0000, 0.0000, 0.4168], [0.5000, 0.5000, 0.2500]]}

{"formula": "K3SiTc", "functional": "PBE", "state": "optimized geometry", "sg": "Pm-3m (221)", "n_ef_per_ev_fu": 9.09, "e_form_raw_mev_per_atom": 1373, "de_polymorph_mev_per_atom": 0, "lattice": [[-5.9388, -0.4851, -2.3790], [-1.7866, -3.3838, 5.1499], [-1.6441, 5.4294, 2.9971]], "species": ["K", "K", "K", "Si", "Tc"], "fractional_positions": [[0.0000, 0.5000, 0.0000], [0.0000, 0.0000, 0.5000], [0.5000, 0.0000, 0.0000], [0.0000, 0.0000, 0.0000], [0.5000, 0.5000, 0.5000]]}

{"formula": "KSiTc4", "functional": "PBE", "state": "optimized geometry", "sg": "F-43m (216)", "n_ef_per_ev_fu": 6.64, "e_form_raw_mev_per_atom": 945, "lattice": [[-0.6475, -4.9364, 1.7095], [-4.0506, -2.8774, -1.7386], [0.8521, -4.0465, -3.2572]], "species": ["K", "Si", "Tc", "Tc", "Tc", "Tc"], "fractional_positions": [[0.7500, 0.7500, 0.7500], [0.0000, 0.0000, 0.0000], [0.8790, 0.3737, 0.3737], [0.3737, 0.3737, 0.8790], [0.3737, 0.8790, 0.3737], [0.3737, 0.3737, 0.3737]]}

{"formula": "K4SiTc", "functional": "PBE", "state": "optimized geometry", "sg": "F-43m (216)", "n_ef_per_ev_fu": 6.57, "e_form_raw_mev_per_atom": 1295, "lattice": [[2.2137, -5.3945, -3.2902], [-4.3347, -4.0060, -3.1605], [-0.1622, -0.1400, -6.6918]], "species": ["K", "K", "K", "K", "Si", "Tc"], "fractional_positions": [[0.8720, 0.3760, 0.3760], [0.3760, 0.3760, 0.8720], [0.3760, 0.8720, 0.3760], [0.3760, 0.3760, 0.3760], [0.7500, 0.7500, 0.7500], [0.0000, 0.0000, 0.0000]]}

{"formula": "KSi2Tc", "functional": "PBE", "state": "optimized geometry", "sg": "I-4m2 (119)", "n_ef_per_ev_fu": 3.04, "e_form_raw_mev_per_atom": 1120, "de_polymorph_mev_per_atom": 1181, "lattice": [[-2.7134, -0.4613, 4.4495], [-3.4953, -3.8896, -0.1671], [5.1008, 0.3373, -1.1143]], "species": ["K", "Si", "Si", "Tc"], "fractional_positions": [[0.7500, 0.2500, 0.5000], [0.0000, 0.0000, 0.0000], [0.2500, 0.7500, 0.5000], [0.5000, 0.5000, 0.0000]]}

{"formula": "KSi2Tc", "functional": "PBE", "state": "optimized geometry", "sg": "Pm (6)", "n_ef_per_ev_fu": 2.30, "e_form_raw_mev_per_atom": 112, "de_polymorph_mev_per_atom": 174, "lattice": [[3.9122, 0.0000, 0.0000], [0.0000, 3.0154, -0.2024], [0.0000, 0.5279, 7.4945]], "species": ["K", "Si", "Si", "Tc"], "fractional_positions": [[0.5000, 0.6274, 0.7601], [0.0000, 0.1257, 0.0754], [0.5000, 0.1234, 0.3379], [0.0000, 0.6234, 0.3265]]}

{"formula": "KSi2Tc2", "functional": "PBE", "state": "optimized geometry", "sg": "I4/mmm (139)", "n_ef_per_ev_fu": 4.71, "e_form_raw_mev_per_atom": 292, "de_polymorph_mev_per_atom": 165, "lattice": [[4.5100, 0.0000, 0.0000], [0.0000, 4.5100, 0.0000], [2.2550, 2.2550, 4.6512]], "species": ["K", "Si", "Si", "Tc", "Tc"], "fractional_positions": [[0.0000, 0.0000, 0.0000], [0.7500, 0.2500, 0.5000], [0.2500, 0.7500, 0.5000], [0.3765, 0.3765, 0.2471], [0.6235, 0.6235, 0.7529]]}

{"formula": "KSi2Tc", "functional": "PBE", "state": "optimized geometry", "sg": "P4/mmm (123)", "n_ef_per_ev_fu": 3.61, "e_form_raw_mev_per_atom": 940, "de_polymorph_mev_per_atom": 1001, "lattice": [[2.6173, 0.0000, 0.0000], [0.0000, 5.2054, 0.0000], [0.0000, 0.0000, 5.2054]], "species": ["K", "Si", "Si", "Tc"], "fractional_positions": [[0.5000, 0.0000, 0.5000], [0.0000, 0.0000, 0.0000], [0.0000, 0.5000, 0.5000], [0.5000, 0.5000, 0.0000]]}

{"formula": "KSi2Tc", "functional": "PBE", "state": "optimized geometry", "sg": "Pmmm (47)", "n_ef_per_ev_fu": 2.78, "e_form_raw_mev_per_atom": 1108, "de_polymorph_mev_per_atom": 1170, "lattice": [[-0.4252, -2.1849, -1.6369], [2.8848, -3.2101, 3.5353], [-4.0220, -0.9975, 2.3761]], "species": ["K", "Si", "Si", "Tc"], "fractional_positions": [[0.0000, 0.5000, 0.5000], [0.0000, 0.0000, 0.0000], [0.5000, 0.5000, 0.0000], [0.5000, 0.0000, 0.5000]]}

{"formula": "KSi2Tc", "functional": "PBE", "state": "optimized geometry", "sg": "P4mm (99)", "n_ef_per_ev_fu": 2.10, "e_form_raw_mev_per_atom": 187, "de_polymorph_mev_per_atom": 249, "lattice": [[3.2605, 0.0000, 0.0000], [0.0000, 3.2605, 0.0000], [0.0000, 0.0000, 7.7502]], "species": ["K", "Si", "Si", "Tc"], "fractional_positions": [[0.5000, 0.5000, 0.7508], [0.0000, 0.0000, 0.0836], [0.5000, 0.5000, 0.2814], [0.0000, 0.0000, 0.3842]]}

{"formula": "KSi2Tc", "functional": "PBE", "state": "optimized geometry", "sg": "R-3m (166)", "n_ef_per_ev_fu": 2.41, "e_form_raw_mev_per_atom": 148, "de_polymorph_mev_per_atom": 209, "lattice": [[9.2746, 0.0122, 0.0072], [8.7461, 3.0861, 0.0072], [8.7461, 1.5037, 2.6949]], "species": ["K", "Si", "Si", "Tc"], "fractional_positions": [[0.7500, 0.7500, 0.7500], [0.9806, 0.9806, 0.9806], [0.5194, 0.5194, 0.5194], [0.2500, 0.2500, 0.2500]]}

{"formula": "KSi2Tc", "functional": "PBE", "state": "optimized geometry", "sg": "F-43m (216)", "n_ef_per_ev_fu": 4.25, "e_form_raw_mev_per_atom": 1127, "de_polymorph_mev_per_atom": 1189, "lattice": [[4.5766, 0.0000, 0.0000], [2.2883, 3.9635, 0.0000], [2.2883, 1.3212, 3.7368]], "species": ["K", "Si", "Si", "Tc"], "fractional_positions": [[0.5000, 0.5000, 0.5000], [0.0000, 0.0000, 0.0000], [0.2500, 0.2500, 0.2500], [0.7500, 0.7500, 0.7500]]}

{"formula": "KSi2Tc2", "functional": "PBE", "state": "optimized geometry", "sg": "P4/mbm (127)", "n_ef_per_ev_fu": 4.16, "e_form_raw_mev_per_atom": 127, "de_polymorph_mev_per_atom": 0, "lattice": [[-4.3082, -4.9686, 4.2564], [1.3582, -5.6646, -5.2377], [2.1662, -0.7252, 1.3460]], "species": ["K", "K", "Si", "Si", "Si", "Si", "Tc", "Tc", "Tc", "Tc"], "fractional_positions": [[0.0000, 0.0000, 0.0000], [0.5000, 0.5000, 0.0000], [0.1494, 0.6494, 0.5000], [0.6494, 0.8506, 0.5000], [0.8506, 0.3506, 0.5000], [0.3506, 0.1494, 0.5000], [0.3627, 0.8627, 0.0000], [0.8627, 0.6373, 0.0000], [0.6373, 0.1373, 0.0000], [0.1373, 0.3627, 0.0000]]}

{"formula": "KSi2Tc", "functional": "PBE", "state": "optimized geometry", "sg": "Cmm2 (35)", "n_ef_per_ev_fu": 2.65, "e_form_raw_mev_per_atom": 604, "de_polymorph_mev_per_atom": 665, "lattice": [[2.8931, -0.0185, 0.0000], [-0.9342, 2.7381, 0.0000], [0.0000, 0.0000, 9.2890]], "species": ["K", "Si", "Si", "Tc"], "fractional_positions": [[0.5000, 0.5000, 0.7494], [0.0000, 0.0000, 0.0569], [0.5000, 0.5000, 0.2536], [0.0000, 0.0000, 0.4401]]}

{"formula": "KSi2Tc", "functional": "PBE", "state": "optimized geometry", "sg": "I4_1/amd (141)", "n_ef_per_ev_fu": 0.12, "e_form_raw_mev_per_atom": 180, "de_polymorph_mev_per_atom": 242, "lattice": [[-2.3376, 0.0221, -5.3154], [-5.0843, -1.7030, 2.2289], [-5.5933, 5.8995, -0.6874]], "species": ["K", "K", "Si", "Si", "Si", "Si", "Tc", "Tc"], "fractional_positions": [[0.5000, 0.5000, 0.0000], [0.2500, 0.7500, 0.5000], [0.8743, 0.1250, 0.2500], [0.8757, 0.6250, 0.2500], [0.3750, 0.1257, 0.7500], [0.8750, 0.1243, 0.7500], [0.0000, 0.0000, 0.0000], [0.7500, 0.2500, 0.5000]]}